Record 1
# UBiTe2

Crystalline UBiTe2 at its relaxed geometry (PBE, Alexandria via LeMat-Bulk).

The calculation puts the uncorrected formation energy at -1.25 eV per formula unit. As for the density of states at the Fermi level: 1.75 states/eV/atom. The value obtained for the total energy is -22.698 eV per cell. As for the energy above the lowest structure with this stoichiometry: 0 meV/atom.

The structure belongs to space group P4/mmm (No. 123); the cell edges are 3.778, 3.778 and 7.974 Å and the angles 90.00°, 90.00° and 90.00°. Symmetry generates all atoms from U at (0.000, 0.000, 0.000), Bi at (0.000, 0.000, 0.500) and Te at (0.500, 0.500, 0.214).

---

Record 2
# LaAg2Pt

Crystalline LaAg2Pt at its relaxed geometry (PBE, Alexandria via LeMat-Bulk).

As for the density of states at the Fermi level: 0.36 states/eV/atom. The value obtained for the total energy is -37.219 eV per cell. The formation energy is -0.48 eV per atom. As for the energy above the lowest structure with this stoichiometry: 38 meV/atom.

The structure belongs to space group Immm (No. 71); the cell edges are 4.180, 4.195 and 9.673 Å and the angles 90.00°, 90.00° and 90.00°. Symmetry generates all atoms from La at (0.000, 0.000, 0.000), Ag at (0.000, 0.500, 0.250) and Pt at (0.000, 0.000, 0.500).

---

Record 3
# YAlIr

Crystalline YAlIr at its relaxed geometry (PBE, Alexandria via LeMat-Bulk).

As for the density of states at the Fermi level: 0.46 states/eV/atom. The value obtained for the total energy is -83.796 eV per cell. The formation energy is -0.63 eV per atom.

The structure belongs to space group F-43m (No. 216); the cell edges are 6.419, 6.419 and 6.419 Å and the angles 90.00°, 90.00° and 90.00°. Symmetry generates all atoms from Y at (0.000, 0.000, 0.000), Al at (0.000, 0.000, 0.500) and Ir at (0.250, 0.250, 0.250).